# 1
The following is a PBE calculation of an optimized crystal structure of Ba3HgMo, from Alexandria via LeMat-Bulk.

Energy of formation (kcal/mol of atoms): 12.6
Space group: No. 221
Distance to the lowest polymorph of the same formula (meV/atom): 0

Cell and atoms, written as POSCAR:
```
Ba3HgMo
1.0
5.967 0.000 0.000
0.000 5.967 0.000
0.000 0.000 5.967
Mo Hg Ba
1 1 3
direct
0.000 0.000 0.000
0.500 0.500 0.500
0.000 0.500 0.000
0.000 0.000 0.500
0.500 0.000 0.000
```



# 2
The following is a PBE calculation of an optimized crystal structure of YCd12Hg6, from Alexandria via LeMat-Bulk.

Energy of formation (kcal/mol of atoms): -0.8
Space group: No. 148
Distance to the lowest polymorph of the same formula (meV/atom): 13

Cell and atoms, written as POSCAR:
```
YCd12Hg6
1.0
7.784 -0.380 0.233
0.215 7.790 0.233
-0.410 -0.380 7.776
Y Cd Hg
1 12 6
direct
0.000 0.000 0.000
0.502 0.197 0.500
0.197 0.500 0.502
0.500 0.502 0.197
0.498 0.803 0.500
0.803 0.500 0.498
0.500 0.498 0.803
0.887 0.885 0.601
0.399 0.113 0.115
0.115 0.399 0.113
0.113 0.115 0.399
0.601 0.887 0.885
0.885 0.601 0.887
0.222 0.218 0.765
0.782 0.235 0.778
0.235 0.778 0.782
0.778 0.782 0.235
0.218 0.765 0.222
0.765 0.222 0.218
```



# 3
The following is a PBE calculation of an optimized crystal structure of HgPb2Au, from Alexandria via LeMat-Bulk.

Energy of formation (kcal/mol of atoms): -0.6
Space group: No. 166
Distance to the lowest polymorph of the same formula (meV/atom): 12

Cell and atoms, written as POSCAR:
```
HgPb2Au
1.0
8.545 -0.047 -0.028
7.629 3.850 -0.028
7.629 1.794 3.406
Pb Au Hg
2 1 1
direct
0.990 0.990 0.990
0.510 0.510 0.510
0.250 0.250 0.250
0.750 0.750 0.750
```



# 4
The following is a PBE calculation of an optimized crystal structure of SrPrGaO4, from Alexandria via LeMat-Bulk.

Space group: No. 63
Formation energy (no corrections) (eV/atom): -2.65

Cell and atoms, written as POSCAR:
```
SrPrGaO4
1.0
-2.946 0.945 4.506
2.938 -3.729 2.703
5.583 4.029 -0.511
Sr Pr Ga O
2 2 2 8
direct
0.604 0.750 0.209
0.396 0.250 0.791
0.111 0.250 0.222
0.889 0.750 0.778
0.256 0.750 0.511
0.744 0.250 0.489
0.925 0.250 0.850
0.413 0.750 0.826
0.075 0.750 0.150
0.587 0.250 0.174
0.500 0.500 0.500
0.000 0.000 0.500
0.500 0.000 0.500
0.000 0.500 0.500
```



# 5
The following is a PBE calculation of an optimized crystal structure of CaSc2Au, from Alexandria via LeMat-Bulk.

Energy of formation (kcal/mol of atoms): -2.2
Space group: No. 216
Distance to the lowest polymorph of the same formula (meV/atom): 254

Cell and atoms, written as POSCAR:
```
CaSc2Au
1.0
-1.479 -4.806 -0.873
3.475 -3.726 -0.294
0.325 -3.485 3.715
Sc Ca Au
2 1 1
direct
0.000 0.000 0.000
0.250 0.250 0.250
0.750 0.750 0.750
0.500 0.500 0.500
```



# 6
The following is a PBE calculation of an optimized crystal structure of Na2LiLaPt, from Alexandria via LeMat-Bulk.

Energy of formation (kcal/mol of atoms): 7.6
Space group: No. 123

Cell and atoms, written as POSCAR:
```
Na2LiLaPt
1.0
4.591 0.000 0.000
0.000 6.218 0.000
0.000 0.000 4.591
Na Li Pt La
2 1 1 1
direct
0.000 0.000 0.500
0.500 0.000 0.000
0.000 0.000 0.000
0.500 0.500 0.500
0.000 0.500 0.000
```



# 7
The following is a PBE calculation of an optimized crystal structure of SrSiTe4Au2, from Alexandria via LeMat-Bulk.

Space group: No. 42
Formation energy (no corrections) (eV/atom): -0.40

Cell and atoms, written as POSCAR:
```
SrSiTe4Au2
1.0
-4.688 2.535 4.590
-4.457 -5.148 -1.761
6.681 -1.852 2.482
Sr Si Te Au
1 1 4 2
direct
0.004 0.004 0.007
0.499 0.499 0.999
0.568 0.568 0.722
0.433 0.844 0.276
0.844 0.433 0.276
0.154 0.154 0.722
0.749 0.249 0.499
0.249 0.749 0.499
```



# 8
The following is a PBE calculation of an optimized crystal structure of LaRe2As, from Alexandria via LeMat-Bulk.

Energy of formation (kcal/mol of atoms): -6.5
Space group: No. 160

Cell and atoms, written as POSCAR:
```
LaRe2As
1.0
-1.838 -3.843 -0.234
1.651 -3.289 2.158
-3.219 -1.129 4.956
Re As La
2 1 1
direct
0.953 0.953 0.141
0.260 0.260 0.219
0.534 0.534 0.398
0.753 0.753 0.742
```



# 9
The following is a PBE calculation of an optimized crystal structure of La2PmMgSe5, from Alexandria via LeMat-Bulk.

Space group: No. 36
Formation energy (no corrections) (eV/atom): -1.79

Cell and atoms, written as POSCAR:
```
La2PmMgSe5
1.0
4.198 0.000 0.000
-2.099 8.862 0.000
0.000 0.000 12.840
La Pm Mg Se
4 2 2 10
direct
0.865 0.730 0.801
0.112 0.224 0.690
0.135 0.270 0.301
0.888 0.776 0.190
0.796 0.591 0.507
0.204 0.409 0.007
0.524 0.049 0.964
0.476 0.951 0.464
0.368 0.736 0.001
0.682 0.365 0.850
0.493 0.986 0.773
0.285 0.571 0.668
0.953 0.906 0.569
0.632 0.264 0.501
0.318 0.635 0.350
0.507 0.014 0.273
0.715 0.429 0.168
0.047 0.094 0.069
```



# 10
The following is a PBE calculation of an optimized crystal structure of Li5N2, from Alexandria via LeMat-Bulk.

Space group: No. 15
Formation energy (no corrections) (eV/atom): -0.24
Distance to the lowest polymorph of the same formula (meV/atom): 0

Cell and atoms, written as POSCAR:
```
Li5N2
1.0
-0.587 -4.133 1.025
4.575 0.144 3.205
-3.597 3.552 3.250
Li N
10 4
direct
0.214 0.422 0.161
0.052 0.078 0.839
0.195 0.664 0.573
0.621 0.836 0.427
0.805 0.336 0.427
0.379 0.164 0.573
0.948 0.922 0.161
0.786 0.578 0.839
0.578 0.250 0.000
0.422 0.750 0.000
0.172 0.408 0.773
0.399 0.092 0.227
0.828 0.592 0.227
0.601 0.908 0.773
```



# 11
The following is a PBE calculation of an optimized crystal structure of TiTlMo, from Alexandria via LeMat-Bulk.

Energy of formation (kcal/mol of atoms): 1.1
Space group: No. 139
Distance to the lowest polymorph of the same formula (meV/atom): 0

Cell and atoms, written as POSCAR:
```
TiTlMo
1.0
-0.882 -2.548 1.634
2.917 -0.261 1.168
-6.222 14.137 18.690
Tl Mo Ti
4 4 4
direct
0.000 0.000 0.063
0.000 0.000 0.937
0.500 0.500 0.563
0.500 0.500 0.437
0.000 0.000 0.781
0.000 0.000 0.219
0.500 0.500 0.281
0.500 0.500 0.719
0.000 0.000 0.652
0.000 0.000 0.348
0.500 0.500 0.152
0.500 0.500 0.848
```



# 12
The following is a PBE calculation of an optimized crystal structure of BaLi2CuSi, from Alexandria via LeMat-Bulk.

Space group: No. 123
Formation energy (no corrections) (eV/atom): -0.12
Distance to the lowest polymorph of the same formula (meV/atom): 0

Cell and atoms, written as POSCAR:
```
BaLi2CuSi
1.0
4.956 0.000 0.000
0.000 4.956 0.000
0.000 0.000 4.610
Si Ba Cu Li
1 1 1 2
direct
0.000 0.000 0.000
0.500 0.500 0.500
0.000 0.000 0.500
0.000 0.500 0.000
0.500 0.000 0.000
```